Record 1
Computed, not measured: a relaxed Pm2Ho2AlGa4 crystal at the PBE level of DFT.

## Properties
Formation energy from the elements, eV per atom: -0.226
Size of the total moment, μB/f.u.: 0.0
SG: No. 139
Uncorrected energy, eV/cell: -36.54

Geometry as POSCAR:
```
Pm2Ho2AlGa4
1.0
-3.513 3.513 4.481
3.513 -3.513 4.481
3.513 3.513 -4.481
Pm Ho Al Ga
2 2 1 4
direct
0.190 0.190 0.000 Pm
0.810 0.810 0.000 Pm
0.250 0.750 0.500 Ho
0.750 0.250 0.500 Ho
0.500 0.500 0.000 Al
0.252 0.252 0.505 Ga
0.252 0.748 0.000 Ga
0.748 0.252 0.000 Ga
0.748 0.748 0.495 Ga
```

***

Record 2
Computed, not measured: a relaxed Cs2HgPAu crystal at the PBE level of DFT.

## Properties
Formation energy from the elements, eV per atom: -0.235
Size of the total moment, μB/f.u.: 0.0
SG: No. 123
Energy relative to the lowest polymorph listed for this composition, kJ/mol of formula units: 0.0
Uncorrected energy, eV/cell: -11.87

Geometry as POSCAR:
```
Cs2HgPAu
1.0
7.052 0.000 0.000
0.000 7.052 0.000
0.000 0.000 4.583
Cs Hg P Au
2 1 1 1
direct
0.000 0.500 0.000 Cs
0.500 0.000 0.000 Cs
0.000 0.000 0.500 Hg
0.500 0.500 0.000 P
0.500 0.500 0.500 Au
```

***

Record 3
Computed, not measured: a relaxed MgCuW crystal at the PBE level of DFT.

## Properties
Formation energy from the elements, eV per atom: 0.277
Size of the total moment, μB/f.u.: 0.0
SG: No. 107
Energy relative to the lowest polymorph listed for this composition, kJ/mol of formula units: 0.0
Uncorrected energy, eV/cell: -35.62

Geometry as POSCAR:
```
MgCuW
1.0
2.730 0.000 0.000
0.000 2.730 0.000
0.000 0.000 12.414
Mg Cu W
2 2 2
direct
0.000 0.000 0.000 Mg
0.500 0.500 0.500 Mg
0.000 0.000 0.663 Cu
0.500 0.500 0.163 Cu
0.000 0.000 0.317 W
0.500 0.500 0.817 W
```

***

Record 4
Computed, not measured: a relaxed Tc2PtSe crystal at the PBE level of DFT.

## Properties
Size of the total moment, μB/f.u.: 0.0
SG: No. 71
Uncorrected formation energy, eV per atom: 0.278
Uncorrected energy, eV/cell: -58.29

Geometry as POSCAR:
```
Tc2PtSe
1.0
3.079 0.000 0.000
0.000 4.446 0.000
0.000 0.000 8.970
Tc Pt Se
4 2 2
direct
0.000 0.000 0.216 Tc
0.000 0.000 0.784 Tc
0.500 0.500 0.284 Tc
0.500 0.500 0.716 Tc
0.000 0.500 0.000 Pt
0.500 0.000 0.500 Pt
0.000 0.500 0.500 Se
0.500 0.000 0.000 Se
```

***

Record 5
Computed, not measured: a relaxed TmTiCuAu crystal at the PBE level of DFT.

## Properties
Formation energy from the elements, eV per atom: -0.295
Size of the total moment, μB/f.u.: 1.5
SG: No. 216
Uncorrected energy, eV/cell: -83.67

Geometry as POSCAR:
```
TmTiCuAu
1.0
6.714 0.000 0.000
0.000 6.714 0.000
0.000 0.000 6.714
Tm Ti Cu Au
4 4 4 4
direct
0.000 0.000 0.000 Tm
0.000 0.500 0.500 Tm
0.500 0.000 0.500 Tm
0.500 0.500 0.000 Tm
0.000 0.000 0.500 Ti
0.000 0.500 0.000 Ti
0.500 0.000 0.000 Ti
0.500 0.500 0.500 Ti
0.250 0.250 0.750 Cu
0.250 0.750 0.250 Cu
0.750 0.250 0.250 Cu
0.750 0.750 0.750 Cu
0.250 0.250 0.250 Au
0.250 0.750 0.750 Au
0.750 0.250 0.750 Au
0.750 0.750 0.250 Au
```

***

Record 6
Computed, not measured: a relaxed LiNi5Ge2 crystal at the PBE level of DFT.

## Properties
Formation energy from the elements, eV per atom: -0.202
Size of the total moment, μB/f.u.: 0.0
SG: No. 71
Uncorrected energy, eV/cell: -83.35

Geometry as POSCAR:
```
LiNi5Ge2
1.0
3.414 0.000 0.000
0.000 6.835 0.000
0.000 0.000 9.093
Li Ni Ge
2 10 4
direct
0.000 0.000 0.000 Li
0.500 0.500 0.500 Li
0.000 0.190 0.360 Ni
0.000 0.190 0.640 Ni
0.000 0.500 0.000 Ni
0.000 0.810 0.360 Ni
0.000 0.810 0.640 Ni
0.500 0.000 0.500 Ni
0.500 0.310 0.140 Ni
0.500 0.310 0.860 Ni
0.500 0.690 0.140 Ni
0.500 0.690 0.860 Ni
0.000 0.500 0.261 Ge
0.000 0.500 0.739 Ge
0.500 0.000 0.239 Ge
0.500 0.000 0.761 Ge
```

***

Record 7
Computed, not measured: a relaxed FeRh2W crystal at the PBE level of DFT.

## Properties
Formation energy from the elements, eV per atom: -0.002
Size of the total moment, μB/f.u.: 2.2
SG: No. 6
Energy relative to the lowest polymorph listed for this composition, kJ/mol of formula units: 61.1
Uncorrected energy, eV/cell: -36.13

Geometry as POSCAR:
```
FeRh2W
1.0
2.743 0.000 0.000
0.000 4.133 0.000
-1.334 0.000 5.016
Fe Rh W
1 2 1
direct
0.000 0.000 0.000 Fe
0.267 0.000 0.516 Rh
0.596 0.500 0.193 Rh
0.870 0.500 0.723 W
```

***

Record 8
Computed, not measured: a relaxed Pm3Si5Pt2 crystal at the PBE level of DFT.

## Properties
Size of the total moment, μB/f.u.: 0.0
SG: No. 72
Uncorrected formation energy, eV per atom: -0.619
Uncorrected energy, eV/cell: -119.28

Geometry as POSCAR:
```
Pm3Si5Pt2
1.0
-4.991 6.579 3.084
4.991 -6.579 3.084
4.991 6.579 -3.084
Pm Si Pt
6 10 4
direct
0.130 0.714 0.844 Pm
0.250 0.250 0.000 Pm
0.370 0.214 0.584 Pm
0.630 0.786 0.416 Pm
0.750 0.750 0.000 Pm
0.870 0.286 0.156 Pm
0.016 0.250 0.766 Si
0.130 0.396 0.525 Si
0.250 0.750 0.500 Si
0.370 0.896 0.266 Si
0.484 0.250 0.234 Si
0.516 0.750 0.766 Si
0.630 0.104 0.734 Si
0.750 0.250 0.500 Si
0.870 0.604 0.475 Si
0.984 0.750 0.234 Si
0.142 0.156 0.299 Pt
0.358 0.656 0.014 Pt
0.642 0.344 0.986 Pt
0.858 0.844 0.701 Pt
```

***

Q: Which Fermi-level density of states values were calculated for the entries above? A: 5.840 2.367 1.500 3.712 4.422 4.011 4.080 4.784, in states/eV/f.u..
Q: Which calculated density values were calculated for the entries above? A: 6.95 5.06 9.76 12.71 10.47 6.98 13.01 7.92, in Mg/m³.